# 1
The following is a GGA-PBE calculation of an optimized crystal structure of SmErSn2, from Alexandria.

Results
- Calculated volume: 106.81 Å³/cell
- DFT formation energy: -0.62 eV/atom
- SG: P4/mmm (123)
- Spin magnetization: 0.000 μB per cell

abc: 4.4843 4.8803 4.8803
angles: 90.00 90.00 90.00
With the nearest neighbours (Å) after each atom.
Atoms (fractional coordinates):
Sn  0.0000  0.5000  0.0000  4 Er 3.31, 4 Sm 3.31, 4 Sn 3.45
Sm  0.5000  0.0000  0.0000  8 Sn 3.31, 4 Er 3.45
Er  0.5000  0.5000  0.5000  8 Sn 3.31, 4 Sm 3.45
Sn  0.0000  0.0000  0.5000  4 Er 3.31, 4 Sm 3.31, 4 Sn 3.45


# 2
The following is a GGA-PBE calculation of an optimized crystal structure of Sm2ErSn3, from Alexandria.

Results
- Calculated volume: 179.80 Å³/cell
- DFT formation energy: -0.57 eV/atom
- SG: Immm (71)
- Spin magnetization: 0.000 μB per cell

abc: 5.1834 6.2835 6.8602
angles: 117.26 112.20 90.00
With the nearest neighbours (Å) after each atom.
Atoms (fractional coordinates):
Er  0.0000  0.5000  0.0000  6 Sn 3.10-3.14
Sn  0.0000  0.0000  0.0000  2 Er 3.14, 4 Sm 3.21
Sm  0.3288  0.8288  0.6576  6 Sn 3.15-3.23
Sn  0.6548  0.6548  0.3095  2 Er 3.10, 4 Sm 3.15-3.23, 1 Sn 3.42
Sm  0.6712  0.1712  0.3424  6 Sn 3.15-3.23
Sn  0.3452  0.3452  0.6905  2 Er 3.10, 4 Sm 3.15-3.23, 1 Sn 3.42


# 3
The following is a GGA-PBE calculation of an optimized crystal structure of Sm8ErSn6, from Alexandria.

Results
- Calculated volume: 481.88 Å³/cell
- DFT formation energy: -0.56 eV/atom
- SG: R-3 (148)
- Spin magnetization: 0.000 μB per cell

abc: 9.2054 9.2054 8.4477
angles: 56.99 56.99 60.00
With the nearest neighbours (Å) after each atom.
Atoms (fractional coordinates):
Sn  0.9327  0.2621  0.2010  7 Sm 3.15-3.38, 1 Er 3.30
Sn  0.0673  0.7379  0.7990  7 Sm 3.15-3.38, 1 Er 3.30
Sm  0.4407  0.7693  0.6860  5 Sn 3.15-3.38
Sm  0.8959  0.5593  0.3140  5 Sn 3.15-3.38
Sm  0.7693  0.1041  0.6860  5 Sn 3.15-3.38
Sm  0.2307  0.8959  0.3140  5 Sn 3.15-3.38
Sm  0.1041  0.4407  0.6860  5 Sn 3.15-3.38
Sm  0.6663  0.6663  0.0010  6 Sn 3.35-3.36, 6 Sm 3.69
Sn  0.2621  0.6041  0.2010  7 Sm 3.15-3.38, 1 Er 3.30
Sn  0.6041  0.9327  0.2010  7 Sm 3.15-3.38, 1 Er 3.30
Er  0.0000  0.0000  0.0000  6 Sn 3.30
Sm  0.5593  0.2307  0.3140  5 Sn 3.15-3.38
Sm  0.3337  0.3337  0.9990  6 Sn 3.35-3.36, 6 Sm 3.69
Sn  0.3959  0.0673  0.7990  7 Sm 3.15-3.38, 1 Er 3.30
Sn  0.7379  0.3959  0.7990  7 Sm 3.15-3.38, 1 Er 3.30


# 4
The following is a GGA-PBE calculation of an optimized crystal structure of SmEr3Sn2, from Alexandria.

Results
- Calculated volume: 353.16 Å³/cell
- DFT formation energy: -0.49 eV/atom
- SG: C2/m (12)
- Spin magnetization: 0.458 μB per cell

abc: 4.5451 10.3661 9.4661
angles: 124.75 90.00 102.66
With the nearest neighbours (Å) after each atom.
Atoms (fractional coordinates):
Er  0.0558  0.1116  0.4220  3 Sn 3.04-3.27, 3 Er 3.32-3.34
Er  0.3556  0.7113  0.1941  4 Sn 3.16-3.28
Sm  0.8857  0.7715  0.9032  6 Sn 3.22-3.42, 1 Er 3.54
Er  0.9442  0.8884  0.5780  3 Sn 3.04-3.27, 3 Er 3.32-3.34
Er  0.6922  0.3844  0.4956  4 Sn 3.14-3.47, 4 Er 3.23-3.32
Sn  0.5100  0.0200  0.1663  1 Sn 2.93, 3 Er 3.04-3.14, 2 Sm 3.22
Er  0.3078  0.6156  0.5044  4 Sn 3.14-3.47, 4 Er 3.23-3.32
Er  0.6444  0.2887  0.8059  4 Sn 3.16-3.28
Sn  0.7565  0.5129  0.2268  7 Er 3.16-3.47, 2 Sm 3.29
Sn  0.2435  0.4871  0.7732  7 Er 3.16-3.47, 2 Sm 3.29
Sn  0.4900  0.9800  0.8337  1 Sn 2.93, 3 Er 3.04-3.14, 2 Sm 3.22
Sm  0.1143  0.2285  0.0968  6 Sn 3.22-3.42, 1 Er 3.54


# 5
The following is a GGA-PBE calculation of an optimized crystal structure of Sm4ErSn, from Alexandria.

Results
- Calculated volume: 426.27 Å³/cell
- DFT formation energy: 0.08 eV/atom
- SG: Cmcm (63)
- Spin magnetization: 0.001 μB per cell

abc: 5.3899 6.7468 12.0280
angles: 90.00 102.95 90.00
With the nearest neighbours (Å) after each atom.
Atoms (fractional coordinates):
Sm  0.8532  0.3221  0.7064  2 Er 3.33, 2 Sn 3.41, 4 Sm 3.44
Er  0.5633  0.8224  0.1266  7 Sm 3.33-3.66
Sm  0.1468  0.8221  0.2936  2 Er 3.33, 2 Sn 3.41, 4 Sm 3.44
Sn  0.1682  0.3223  0.3364  10 Sm 3.26-3.50
Sm  0.2986  0.5748  0.5972  3 Sn 3.26-3.50, 7 Sm 3.29-3.53
Er  0.4367  0.3224  0.8734  7 Sm 3.33-3.66
Sm  0.7015  0.5694  0.4030  3 Sn 3.26-3.50, 7 Sm 3.29-3.53
Sm  0.2985  0.0694  0.5970  3 Sn 3.26-3.50, 7 Sm 3.29-3.53
Sm  0.7014  0.0748  0.4028  3 Sn 3.26-3.50, 7 Sm 3.29-3.53
Sn  0.8318  0.8223  0.6636  10 Sm 3.26-3.50
Sm  0.5805  0.3224  0.1611  2 Sm 3.29, 3 Er 3.37-3.40, 2 Sn 3.39
Sm  0.4195  0.8224  0.8389  2 Sm 3.29, 3 Er 3.37-3.40, 2 Sn 3.39


# 6
The following is a GGA-PBE calculation of an optimized crystal structure of SmEr2Sn, from Alexandria.

Results
- Calculated volume: 118.33 Å³/cell
- DFT formation energy: -0.29 eV/atom
- SG: P4/mmm (123)
- Spin magnetization: 0.180 μB per cell
- E above lowest polymorph: 2.81 kcal/mol of atoms

abc: 3.7359 3.7359 8.4780
angles: 90.00 90.00 90.00
With the nearest neighbours (Å) after each atom.
Atoms (fractional coordinates):
Er  0.0000  0.0000  0.2174  4 Sn 3.22, 4 Sm 3.57
Sn  0.5000  0.5000  0.0000  8 Er 3.22
Er  0.0000  0.0000  0.7826  4 Sn 3.22, 4 Sm 3.57
Sm  0.5000  0.5000  0.5000  8 Er 3.57, 4 Sm 3.74


# 7
The following is a GGA-PBE calculation of an optimized crystal structure of Sm3Er2Sn2, from Alexandria.

Results
- Calculated volume: 213.52 Å³/cell
- DFT formation energy: -0.29 eV/atom
- SG: C2/m (12)
- Spin magnetization: 0.414 μB per cell

abc: 3.4963 7.7912 8.8307
angles: 114.57 101.42 90.00
With the nearest neighbours (Å) after each atom.
Atoms (fractional coordinates):
Er  0.9120  0.8012  0.8240  2 Sn 3.14, 1 Sm 3.30, 3 Er 3.30-3.50
Sm  0.7782  0.2932  0.5564  3 Sn 3.35-3.38, 3 Sm 3.48-3.50, 3 Er 3.52-3.64
Sn  0.3963  0.1191  0.7927  2 Er 3.14, 5 Sm 3.25-3.38, 2 Sn 3.50
Er  0.0880  0.1988  0.1760  2 Sn 3.14, 1 Sm 3.30, 3 Er 3.30-3.50
Sm  0.2218  0.7068  0.4436  3 Sn 3.35-3.38, 3 Sm 3.48-3.50, 3 Er 3.52-3.64
Sn  0.6037  0.8809  0.2073  2 Er 3.14, 5 Sm 3.25-3.38, 2 Sn 3.50
Sm  0.0000  0.5000  0.0000  4 Sn 3.25, 2 Er 3.30, 4 Sm 3.48-3.50


# 8
The following is a GGA-PBE calculation of an optimized crystal structure of SmErSn, from Alexandria.

Results
- Calculated volume: 87.81 Å³/cell
- DFT formation energy: -0.42 eV/atom
- SG: I4mm (107)
- Spin magnetization: 0.000 μB per cell
- E above lowest polymorph: 4.33 kcal/mol of atoms

abc: 3.5612 3.5612 7.3671
angles: 103.99 103.99 90.00
With the nearest neighbours (Å) after each atom.
Atoms (fractional coordinates):
Sn  0.3307  0.3307  0.6615  4 Er 3.26, 4 Sm 3.33, 4 Sn 3.56
Er  0.6809  0.6809  0.3619  4 Sn 3.26, 4 Er 3.56
Sm  0.9883  0.9883  0.9766  4 Sn 3.33, 4 Sm 3.56, 4 Er 3.67


# 9
The following is a GGA-PBE calculation of an optimized crystal structure of Sm5ErSn5, from Alexandria.

Results
- Calculated volume: 354.92 Å³/cell
- DFT formation energy: -0.47 eV/atom
- SG: C2/m (12)
- Spin magnetization: 0.388 μB per cell

abc: 6.2600 8.5355 7.3696
angles: 103.33 90.00 111.51
With the nearest neighbours (Å) after each atom.
Atoms (fractional coordinates):
Sn  0.8352  0.6703  0.6647  1 Er 3.12, 5 Sm 3.13-3.24
Sn  0.1648  0.3297  0.3353  1 Er 3.12, 5 Sm 3.13-3.24
Sm  0.3288  0.6575  0.6790  5 Sn 3.13-3.17
Er  0.0000  0.0000  0.0000  6 Sn 3.08-3.13
Sm  0.6611  0.3221  0.8185  5 Sn 3.14-3.24
Sm  0.6712  0.3425  0.3210  5 Sn 3.13-3.17
Sn  0.1652  0.3305  0.8531  1 Er 3.08, 5 Sm 3.14-3.21
Sn  0.8348  0.6695  0.1469  1 Er 3.08, 5 Sm 3.14-3.21
Sn  0.5000  0.0000  0.0000  2 Er 3.13, 4 Sm 3.13-3.17
Sm  0.3389  0.6779  0.1815  5 Sn 3.14-3.24
Sm  0.0000  0.0000  0.5000  4 Sn 3.15-3.21


# 10
The following is a GGA-PBE calculation of an optimized crystal structure of Sm2Er3Sn2, from Alexandria.

Results
- Calculated volume: 212.89 Å³/cell
- DFT formation energy: -0.46 eV/atom
- SG: C2/m (12)
- Spin magnetization: 0.008 μB per cell

abc: 4.4644 6.3769 8.5141
angles: 109.00 90.00 110.49
With the nearest neighbours (Å) after each atom.
Atoms (fractional coordinates):
Sn  0.1700  0.3399  0.2012  5 Er 3.10-3.19, 3 Sm 3.21-3.39
Sn  0.8300  0.6601  0.7988  5 Er 3.10-3.19, 3 Sm 3.21-3.39
Er  0.5000  0.0000  0.0000  4 Sn 3.10
Sm  0.1350  0.2701  0.7887  3 Sn 3.21-3.39, 2 Er 3.58
Er  0.3747  0.7494  0.5617  3 Sn 3.18-3.19, 2 Er 3.50
Sm  0.8650  0.7299  0.2113  3 Sn 3.21-3.39, 2 Er 3.58
Er  0.6253  0.2506  0.4383  3 Sn 3.18-3.19, 2 Er 3.50


# 11
The following is a GGA-PBE calculation of an optimized crystal structure of SmErSn2, from Alexandria.

Results
- Calculated volume: 107.48 Å³/cell
- DFT formation energy: -0.63 eV/atom
- SG: P4/mmm (123)
- Spin magnetization: 0.001 μB per cell

abc: 3.4824 3.4824 8.8633
angles: 90.00 90.00 90.00
With the nearest neighbours (Å) after each atom.
Atoms (fractional coordinates):
Er  0.5000  0.5000  0.5000  8 Sn 3.27, 4 Er 3.48
Sn  0.0000  0.0000  0.2570  4 Er 3.27, 4 Sm 3.35, 4 Sn 3.48
Sn  0.0000  0.0000  0.7430  4 Er 3.27, 4 Sm 3.35, 4 Sn 3.48
Sm  0.5000  0.5000  0.0000  8 Sn 3.35, 4 Sm 3.48


# 12
The following is a GGA-PBE calculation of an optimized crystal structure of Sm4ErSn4, from Alexandria.

Results
- Calculated volume: 571.33 Å³/cell
- DFT formation energy: -0.46 eV/atom
- SG: P4_2/n (86)
- Spin magnetization: 0.000 μB per cell

abc: 6.3722 9.4689 9.4689
angles: 90.00 90.00 90.00
With the nearest neighbours (Å) after each atom.
Atoms (fractional coordinates):
Sm  0.3689  0.2889  0.9181  5 Sn 3.08-3.45
Sn  0.3638  0.6077  0.7733  1 Er 2.91, 3 Sm 3.08-3.23, 1 Sn 3.09
Sm  0.8689  0.5819  0.7889  5 Sn 3.08-3.45
Sm  0.8689  0.4181  0.2111  5 Sn 3.08-3.45
Er  0.5000  0.5000  0.5000  4 Sn 2.91
Sn  0.1362  0.8923  0.7267  1 Er 2.91, 3 Sm 3.08-3.23, 1 Sn 3.09
Sn  0.3638  0.3923  0.2267  1 Er 2.91, 3 Sm 3.08-3.23, 1 Sn 3.09
Sm  0.1311  0.2111  0.5819  5 Sn 3.08-3.45
Sm  0.6311  0.9181  0.7111  5 Sn 3.08-3.45
Sn  0.8638  0.7267  0.1077  1 Er 2.91, 3 Sm 3.08-3.23, 1 Sn 3.09
Sm  0.1311  0.7889  0.4181  5 Sn 3.08-3.45
Sn  0.6362  0.2267  0.6077  1 Er 2.91, 3 Sm 3.08-3.23, 1 Sn 3.09
Er  0.0000  0.0000  0.0000  4 Sn 2.91
Sm  0.6311  0.0819  0.2889  5 Sn 3.08-3.45
Sn  0.1362  0.1077  0.2733  1 Er 2.91, 3 Sm 3.08-3.23, 1 Sn 3.09
Sm  0.3689  0.7111  0.0819  5 Sn 3.08-3.45
Sn  0.8638  0.2733  0.8923  1 Er 2.91, 3 Sm 3.08-3.23, 1 Sn 3.09
Sn  0.6362  0.7733  0.3923  1 Er 2.91, 3 Sm 3.08-3.23, 1 Sn 3.09